Entry 1:
# Er2PuO6 GGA-PBE relaxed
data_Er2PuO6
_cell_length_a 3.824
_cell_length_b 5.305
_cell_length_c 6.400
_cell_angle_alpha 114.49
_cell_angle_beta 107.38
_cell_angle_gamma 90.00
_symmetry_space_group_name_H-M 'P 1'
_symmetry_Int_Tables_number 1
_symmetry_space_group_name_Hall 'P 1'
loop_
_atom_site_label
_atom_site_type_symbol
_atom_site_fract_x
_atom_site_fract_y
_atom_site_fract_z
O1 O 0.500 0.766 0.000
Pu1 Pu 0.000 0.000 0.000
Er1 Er 0.666 0.666 0.332
O2 O 0.158 0.401 0.315
O3 O 0.842 0.599 0.685
Er2 Er 0.334 0.334 0.668
O4 O 0.158 0.914 0.315
O5 O 0.842 0.086 0.685
O6 O 0.500 0.234 0.000
# **Symmetry**: No. 71
# **Calculated total energy**: -9.057 eV/atom
# **Formation energy from raw total energies**: -3146 meV/atom



Entry 2:
# ErPuO5 GGA-PBE relaxed
data_ErPuO5
_cell_length_a 5.617
_cell_length_b 5.617
_cell_length_c 8.051
_cell_angle_alpha 68.91
_cell_angle_beta 68.91
_cell_angle_gamma 70.29
_symmetry_space_group_name_H-M 'P 1'
_symmetry_Int_Tables_number 1
_symmetry_space_group_name_Hall 'P 1'
loop_
_atom_site_label
_atom_site_type_symbol
_atom_site_fract_x
_atom_site_fract_y
_atom_site_fract_z
O1 O 0.888 0.112 0.250
O2 O 0.756 0.784 0.619
O3 O 0.216 0.244 0.881
O4 O 0.784 0.756 0.119
O5 O 0.312 0.706 0.039
Er1 Er 0.458 0.542 0.750
Er2 Er 0.542 0.458 0.250
Pu1 Pu 0.000 0.000 0.500
Pu2 Pu 0.000 0.000 0.000
O6 O 0.112 0.888 0.750
O7 O 0.688 0.294 0.961
O8 O 0.294 0.688 0.461
O9 O 0.244 0.216 0.381
O10 O 0.706 0.312 0.539
# **Symmetry**: No. 15
# **Calculated total energy**: -9.021 eV/atom
# **Formation energy from raw total energies**: -2780 meV/atom



Entry 3:
# ErPuO GGA-PBE relaxed
data_ErPuO
_cell_length_a 6.695
_cell_length_b 6.297
_cell_length_c 6.214
_cell_angle_alpha 113.44
_cell_angle_beta 90.00
_cell_angle_gamma 90.00
_symmetry_space_group_name_H-M 'P 1'
_symmetry_Int_Tables_number 1
_symmetry_space_group_name_Hall 'P 1'
loop_
_atom_site_label
_atom_site_type_symbol
_atom_site_fract_x
_atom_site_fract_y
_atom_site_fract_z
Er1 Er 0.641 0.996 0.720
O1 O 0.874 0.215 0.986
Pu1 Pu 0.601 0.473 0.241
Pu2 Pu 0.101 0.527 0.259
Pu3 Pu 0.899 0.473 0.741
Er2 Er 0.359 0.004 0.280
Er3 Er 0.859 0.996 0.220
O2 O 0.126 0.785 0.014
O3 O 0.374 0.785 0.514
Pu4 Pu 0.399 0.527 0.759
O4 O 0.626 0.215 0.486
Er4 Er 0.141 0.004 0.780
# **Symmetry**: No. 14
# **Calculated total energy**: -9.628 eV/atom
# **Formation energy from raw total energies**: -1677 meV/atom
# **Relative energy among the computed polymorphs**: 0.0 meV/atom



Entry 4:
# Er2PuO GGA-PBE relaxed
data_Er2PuO
_cell_length_a 3.387
_cell_length_b 3.387
_cell_length_c 9.435
_cell_angle_alpha 79.66
_cell_angle_beta 79.66
_cell_angle_gamma 60.00
_symmetry_space_group_name_H-M 'P 1'
_symmetry_Int_Tables_number 1
_symmetry_space_group_name_Hall 'P 1'
loop_
_atom_site_label
_atom_site_type_symbol
_atom_site_fract_x
_atom_site_fract_y
_atom_site_fract_z
Er1 Er 0.882 0.882 0.355
Pu1 Pu 0.000 0.000 0.000
Er2 Er 0.118 0.118 0.645
O1 O 0.500 0.500 0.500
# **Symmetry**: No. 166
# **Calculated total energy**: -8.225 eV/atom
# **Formation energy from raw total energies**: -1121 meV/atom
# **Relative energy among the computed polymorphs**: 0.0 meV/atom



Entry 5:
# Er2PuO GGA-PBE relaxed
data_Er2PuO
_cell_length_a 3.083
_cell_length_b 3.083
_cell_length_c 8.627
_cell_angle_alpha 90.00
_cell_angle_beta 90.00
_cell_angle_gamma 90.00
_symmetry_space_group_name_H-M 'P 1'
_symmetry_Int_Tables_number 1
_symmetry_space_group_name_Hall 'P 1'
loop_
_atom_site_label
_atom_site_type_symbol
_atom_site_fract_x
_atom_site_fract_y
_atom_site_fract_z
Er1 Er 0.000 0.000 0.819
Er2 Er 0.000 0.000 0.181
O1 O 0.500 0.500 0.000
Pu1 Pu 0.500 0.500 0.500
# **Symmetry**: No. 123
# **Calculated total energy**: -7.907 eV/atom
# **Formation energy from raw total energies**: -803 meV/atom
# **Relative energy among the computed polymorphs**: 318.3 meV/atom



Entry 6:
# ErPuO GGA-PBE relaxed
data_ErPuO
_cell_length_a 3.424
_cell_length_b 3.424
_cell_length_c 6.020
_cell_angle_alpha 90.00
_cell_angle_beta 90.00
_cell_angle_gamma 120.00
_symmetry_space_group_name_H-M 'P 1'
_symmetry_Int_Tables_number 1
_symmetry_space_group_name_Hall 'P 1'
loop_
_atom_site_label
_atom_site_type_symbol
_atom_site_fract_x
_atom_site_fract_y
_atom_site_fract_z
Er1 Er 0.667 0.333 0.437
Pu1 Pu 0.000 0.000 0.910
O1 O 0.333 0.667 0.653
# **Symmetry**: No. 156
# **Calculated total energy**: -9.516 eV/atom
# **Formation energy from raw total energies**: -1565 meV/atom
# **Relative energy among the computed polymorphs**: 112.3 meV/atom



Entry 7:
# Rb3ErPu2O9 GGA-PBE relaxed
data_Rb3ErPu2O9
_cell_length_a 6.091
_cell_length_b 6.091
_cell_length_c 7.470
_cell_angle_alpha 90.00
_cell_angle_beta 90.00
_cell_angle_gamma 120.00
_symmetry_space_group_name_H-M 'P 1'
_symmetry_Int_Tables_number 1
_symmetry_space_group_name_Hall 'P 1'
loop_
_atom_site_label
_atom_site_type_symbol
_atom_site_fract_x
_atom_site_fract_y
_atom_site_fract_z
O1 O 0.825 0.175 0.678
Rb1 Rb 0.667 0.333 0.338
Er1 Er 0.000 0.000 0.500
O2 O 0.650 0.825 0.322
O3 O 0.000 0.500 0.000
O4 O 0.500 0.000 0.000
O5 O 0.500 0.500 0.000
Pu1 Pu 0.667 0.333 0.834
O6 O 0.175 0.825 0.322
Rb2 Rb 0.333 0.667 0.662
O7 O 0.350 0.175 0.678
O8 O 0.175 0.350 0.322
O9 O 0.825 0.650 0.678
Rb3 Rb 0.000 0.000 0.000
Pu2 Pu 0.333 0.667 0.166
# **Symmetry**: No. 164
# **Calculated total energy**: -7.915 eV/atom
# **Formation energy from raw total energies**: -2532 meV/atom



Entry 8:
# RbErPuO6 GGA-PBE relaxed
data_RbErPuO6
_cell_length_a 5.815
_cell_length_b 5.815
_cell_length_c 6.052
_cell_angle_alpha 90.00
_cell_angle_beta 90.00
_cell_angle_gamma 60.00
_symmetry_space_group_name_H-M 'P 1'
_symmetry_Int_Tables_number 1
_symmetry_space_group_name_Hall 'P 1'
loop_
_atom_site_label
_atom_site_type_symbol
_atom_site_fract_x
_atom_site_fract_y
_atom_site_fract_z
O1 O 0.371 0.033 0.682
O2 O 0.371 0.596 0.318
O3 O 0.033 0.371 0.318
O4 O 0.033 0.596 0.682
Er1 Er 0.667 0.667 0.500
Rb1 Rb 0.000 0.000 0.000
O5 O 0.596 0.372 0.682
Pu1 Pu 0.333 0.333 0.500
O6 O 0.596 0.033 0.318
# **Symmetry**: No. 149
# **Calculated total energy**: -7.957 eV/atom
# **Formation energy from raw total energies**: -2444 meV/atom